Entry 1:
First-principles (PBE) data for crystalline GaTcNiSn2 at its relaxed geometry, as listed in the Alexandria database.

abc: 5.133 4.660 5.133
angles: 90.00 90.00 90.00
Atoms (fractional coordinates):
Sn (0.500, 0.000, 0.000)
Sn (0.000, 0.000, 0.500)
Ga (0.500, 0.500, 0.500)
Tc (0.000, 0.000, 0.000)
Ni (0.000, 0.500, 0.000)

- DOS at the Fermi energy (states/eV/f.u.) = 3.80
- calculated formation energy (eV per formula unit) = 2.9

Entry 2:
First-principles (PBE) data for crystalline MgSc3Tl4 at its relaxed geometry, as listed in the Alexandria database.

abc: 3.636 5.053 10.302
angles: 90.00 90.00 90.00
Atoms (fractional coordinates):
Sc (0.500, 0.500, 0.500)
Sc (0.500, 0.000, 0.759)
Sc (0.500, 0.000, 0.241)
Tl (0.000, 0.000, 0.500)
Tl (0.000, 0.500, 0.251)
Tl (0.000, 0.000, 0.000)
Tl (0.000, 0.500, 0.749)
Mg (0.500, 0.500, 0.000)

- DOS at the Fermi energy (states/eV/f.u.) = 5.66
- calculated formation energy (eV per formula unit) = -1.6

Entry 3:
First-principles (PBE) data for crystalline PuMgInGa at its relaxed geometry, as listed in the Alexandria database.

abc: 5.076 5.076 5.076
angles: 60.00 60.00 60.00
Atoms (fractional coordinates):
Pu (0.750, 0.750, 0.750)
Ga (0.000, 0.000, 0.000)
Mg (0.250, 0.250, 0.250)
In (0.500, 0.500, 0.500)

- DOS at the Fermi energy (states/eV/f.u.) = 10.46
- calculated formation energy (eV per formula unit) = -0.8